[1]
Below is a relaxed structure of TiTlGe3, with properties calculated at the PBE level.

The structure in POSCAR format:
```
TiTlGe3
1.0
4.984 0.000 0.000
0.000 4.984 0.000
0.000 0.000 4.984
Ti Tl Ge
1 1 3
Cartesian
0.000 0.000 0.000 Ti
2.492 2.492 2.492 Tl
0.000 0.000 2.492 Ge
0.000 2.492 0.000 Ge
2.492 0.000 0.000 Ge
```

Results
energy of formation = 0.14 eV per atom
V = 123.8 Å³/f.u.
uncorrected energy = -4.68 eV per atom


[2]
Below is a relaxed structure of TiTlGe, with properties calculated at the PBE level.

The structure in POSCAR format:
```
TiTlGe
1.0
3.633 0.000 0.000
0.000 3.721 0.000
-1.588 -1.837 9.907
Ti Tl Ge
2 2 2
Cartesian
0.146 0.941 3.825 Ti
1.898 0.943 6.082 Ti
-0.577 0.953 8.806 Tl
2.621 0.931 1.101 Tl
0.088 -0.917 6.069 Ge
1.956 2.801 3.838 Ge
```

Results
energy of formation = -0.20 eV per atom
V = 67.0 Å³/f.u.
uncorrected energy = -5.16 eV per atom


[3]
Below is a relaxed structure of TiTl2Ge2, with properties calculated at the PBE level.

The structure in POSCAR format:
```
TiTl2Ge2
1.0
6.893 0.000 0.000
0.000 6.893 0.000
0.000 0.000 4.826
Ti Tl Ge
2 4 4
Cartesian
0.000 0.000 0.000 Ti
3.447 3.447 0.000 Ti
1.279 2.167 2.413 Tl
2.167 5.614 2.413 Tl
4.726 1.279 2.413 Tl
5.614 4.726 2.413 Tl
0.914 4.361 0.000 Ge
2.532 0.914 0.000 Ge
4.361 5.979 0.000 Ge
5.979 2.532 0.000 Ge
```

Results
energy of formation = 0.20 eV per atom
V = 114.7 Å³/f.u.
uncorrected energy = -4.17 eV per atom


[4]
Below is a relaxed structure of Ti2TlGe2, with properties calculated at the PBE level.

The structure in POSCAR format:
```
Ti2TlGe2
1.0
-1.857 1.857 6.843
1.857 -1.857 6.843
1.857 1.857 -6.843
Ti Tl Ge
2 1 2
Cartesian
0.000 0.000 1.445 Ti
0.000 0.000 12.241 Ti
0.000 0.000 6.843 Tl
1.857 0.000 3.422 Ge
0.000 1.857 3.422 Ge
```

Results
energy of formation = -0.08 eV per atom
V = 94.4 Å³/f.u.
uncorrected energy = -5.56 eV per atom


[5]
Below is a relaxed structure of TiTlGe, with properties calculated at the PBE level.

The structure in POSCAR format:
```
TiTlGe
1.0
3.122 -4.125 0.000
3.122 4.125 0.000
-3.118 0.000 5.108
Ti Tl Ge
2 2 2
Cartesian
3.122 2.381 0.000 Ti
3.122 -2.381 0.000 Ti
1.563 2.071 2.554 Tl
1.563 -2.071 2.554 Tl
1.860 0.000 0.006 Ge
1.266 0.000 5.102 Ge
```

Results
energy of formation = -0.12 eV per atom
V = 65.8 Å³/f.u.
uncorrected energy = -5.08 eV per atom


[6]
Below is a relaxed structure of TiTlGe, with properties calculated at the PBE level.

The structure in POSCAR format:
```
TiTlGe
1.0
3.124 -4.131 0.000
3.124 4.131 0.000
0.000 0.000 5.085
Ti Tl Ge
2 2 2
Cartesian
3.124 2.406 0.000 Ti
3.124 -2.406 0.000 Ti
1.562 2.066 2.542 Tl
1.562 -2.066 2.542 Tl
1.867 0.000 0.000 Ge
4.381 0.000 0.000 Ge
```

Results
energy of formation = -0.13 eV per atom
V = 65.6 Å³/f.u.
uncorrected energy = -5.09 eV per atom